Entry 1:
# SrCu2Te, optimized geometry, DFT PBE
# Final energy: -3.282 eV/atom
# E_form (uncorrected): -0.1 eV/f.u.
data_SrCu2Te
_space_group_name_H-M_alt 'F -4 3 m'
_space_group_IT_number 216
_space_group_name_Hall 'F -4 2 3'
_cell_length_a 7.2311
_cell_length_b 7.2311
_cell_length_c 7.2311
_cell_angle_alpha 90.00
_cell_angle_beta 90.00
_cell_angle_gamma 90.00
loop_
_atom_site_label
_atom_site_type_symbol
_atom_site_fract_x
_atom_site_fract_y
_atom_site_fract_z
Sr1 Sr 0.0000 0.0000 0.0000
Cu1 Cu 0.0000 0.0000 0.5000
Cu2 Cu 0.2500 0.2500 0.7500
Te1 Te 0.2500 0.2500 0.2500

Entry 2:
# SrCu2Te, optimized geometry, DFT PBE
# Final energy: -3.491 eV/atom
# E_form (uncorrected): -0.9 eV/f.u.
data_SrCu2Te
_space_group_name_H-M_alt 'I 41/a m d'
_space_group_IT_number 141
_cell_length_a 4.7937
_cell_length_b 4.7937
_cell_length_c 18.8742
_cell_angle_alpha 90.00
_cell_angle_beta 90.00
_cell_angle_gamma 90.00
loop_
_space_group_symop_operation_xyz
'x,y,z'
'-x,-y,-z'
'-y+1/4,x+3/4,z+1/4'
'y+1/4,-x+3/4,-z+1/4'
'-x+1/2,-y,z+1/2'
'x+1/2,y,-z+1/2'
'y+1/4,-x+1/4,z+3/4'
'-y+1/4,x+1/4,-z+3/4'
'x,-y,-z'
'-x,y,z'
'-y+1/4,-x+1/4,-z+3/4'
'y+1/4,x+1/4,z+3/4'
'-x+1/2,y,-z+1/2'
'x+1/2,-y,z+1/2'
'y+1/4,x+3/4,-z+1/4'
'-y+1/4,-x+3/4,z+1/4'
'x+1/2,y+1/2,z+1/2'
'-x+1/2,-y+1/2,-z+1/2'
'-y+3/4,x+1/4,z+3/4'
'y+3/4,-x+1/4,-z+3/4'
'-x,-y+1/2,z'
'x,y+1/2,-z'
'y+3/4,-x+3/4,z+1/4'
'-y+3/4,x+3/4,-z+1/4'
'x+1/2,-y+1/2,-z+1/2'
'-x+1/2,y+1/2,z+1/2'
'-y+3/4,-x+3/4,-z+1/4'
'y+3/4,x+3/4,z+1/4'
'-x,y+1/2,-z'
'x,-y+1/2,z'
'y+3/4,x+1/4,-z+3/4'
'-y+3/4,-x+1/4,z+3/4'
loop_
_atom_site_label
_atom_site_type_symbol
_atom_site_fract_x
_atom_site_fract_y
_atom_site_fract_z
Sr1 Sr 0.0000 0.2500 0.3750
Cu1 Cu 0.0000 0.0000 0.0000
Te1 Te 0.0000 0.2500 0.8750

Entry 3:
# SrCu2Te, optimized geometry, DFT PBE
# Final energy: -3.641 eV/atom
# E_form (uncorrected): -1.5 eV/f.u.
data_SrCu2Te
_space_group_name_H-M_alt 'P m m m'
_space_group_IT_number 47
_cell_length_a 4.3307
_cell_length_b 4.5003
_cell_length_c 5.2436
_cell_angle_alpha 90.00
_cell_angle_beta 90.00
_cell_angle_gamma 90.00
loop_
_space_group_symop_operation_xyz
'x,y,z'
'-x,-y,-z'
'-x,-y,z'
'x,y,-z'
'x,-y,-z'
'-x,y,z'
'-x,y,-z'
'x,-y,z'
loop_
_atom_site_label
_atom_site_type_symbol
_atom_site_fract_x
_atom_site_fract_y
_atom_site_fract_z
Sr1 Sr 0.0000 0.0000 0.0000
Cu1 Cu 0.5000 0.5000 0.2295
Te1 Te 0.5000 0.0000 0.5000

Entry 4:
# SrCu2Te, optimized geometry, DFT PBE
# Final energy: -3.440 eV/atom
# E_form (uncorrected): -0.7 eV/f.u.
data_SrCu2Te
_space_group_name_H-M_alt 'R -3 m'
_space_group_IT_number 166
_space_group_name_Hall '-R 3 2"'
_cell_length_a 4.5162
_cell_length_b 4.5162
_cell_length_c 16.1249
_cell_angle_alpha 90.00
_cell_angle_beta 90.00
_cell_angle_gamma 120.00
loop_
_atom_site_label
_atom_site_type_symbol
_atom_site_fract_x
_atom_site_fract_y
_atom_site_fract_z
Sr1 Sr 0.0000 0.0000 0.0000
Cu1 Cu 0.0000 0.0000 0.2113
Te1 Te 0.0000 0.0000 0.5000

Entry 5:
# Sr2Cu2Te, optimized geometry, DFT PBE
# Final energy: -3.397 eV/atom
# E_form (uncorrected): -2.3 eV/f.u.
# E above lowest polymorph: 0.000 eV/atom
data_Sr2Cu2Te
_space_group_name_H-M_alt 'P 4/m b m'
_space_group_IT_number 127
_space_group_name_Hall '-P 4 2ab'
_cell_length_a 7.9277
_cell_length_b 7.9277
_cell_length_c 4.2399
_cell_angle_alpha 90.00
_cell_angle_beta 90.00
_cell_angle_gamma 90.00
loop_
_atom_site_label
_atom_site_type_symbol
_atom_site_fract_x
_atom_site_fract_y
_atom_site_fract_z
Sr1 Sr 0.1840 0.3160 0.0000
Cu1 Cu 0.1067 0.6067 0.5000
Te1 Te 0.0000 0.0000 0.5000

Entry 6:
# SrCu2Te2, optimized geometry, DFT PBE
# Final energy: -3.846 eV/atom
# E_form (uncorrected): -3.1 eV/f.u.
data_SrCu2Te2
_space_group_name_H-M_alt 'I 4/m m m'
_space_group_IT_number 139
_space_group_name_Hall '-I 4 2'
_cell_length_a 4.1752
_cell_length_b 4.1752
_cell_length_c 14.1834
_cell_angle_alpha 90.00
_cell_angle_beta 90.00
_cell_angle_gamma 90.00
loop_
_atom_site_label
_atom_site_type_symbol
_atom_site_fract_x
_atom_site_fract_y
_atom_site_fract_z
Sr1 Sr 0.0000 0.0000 0.0000
Cu1 Cu 0.0000 0.5000 0.2500
Te1 Te 0.0000 0.0000 0.3684

Entry 7:
# SrCu2Te, optimized geometry, DFT PBE
# Final energy: -3.456 eV/atom
# E_form (uncorrected): -0.8 eV/f.u.
data_SrCu2Te
_space_group_name_H-M_alt 'I m m 2'
_space_group_IT_number 44
_cell_length_a 4.1533
_cell_length_b 4.1717
_cell_length_c 11.3487
_cell_angle_alpha 90.00
_cell_angle_beta 90.00
_cell_angle_gamma 90.00
loop_
_space_group_symop_operation_xyz
'x,y,z'
'-x,-y,z'
'-x,y,z'
'x,-y,z'
'x+1/2,y+1/2,z+1/2'
'-x+1/2,-y+1/2,z+1/2'
'-x+1/2,y+1/2,z+1/2'
'x+1/2,-y+1/2,z+1/2'
loop_
_atom_site_label
_atom_site_type_symbol
_atom_site_fract_x
_atom_site_fract_y
_atom_site_fract_z
Sr1 Sr 0.0000 0.0000 0.0000
Cu1 Cu 0.0000 0.0000 0.6175
Cu2 Cu 0.0000 0.5000 0.2255
Te1 Te 0.0000 0.5000 0.7658

Entry 8:
# SrThCuTe4, optimized geometry, DFT PBE
# Final energy: -4.706 eV/atom
# E_form (uncorrected): -7.2 eV/f.u.
data_SrThCuTe4
_space_group_name_H-M_alt 'P 1 21/m 1'
_space_group_IT_number 11
_cell_length_a 7.6635
_cell_length_b 6.4138
_cell_length_c 9.2581
_cell_angle_alpha 90.00
_cell_angle_beta 107.22
_cell_angle_gamma 90.00
loop_
_space_group_symop_operation_xyz
'x,y,z'
'-x,-y,-z'
'-x,y+1/2,-z'
'x,-y+1/2,z'
loop_
_atom_site_label
_atom_site_type_symbol
_atom_site_fract_x
_atom_site_fract_y
_atom_site_fract_z
Sr1 Sr 0.2486 0.2500 0.4392
Th1 Th 0.2262 0.2500 0.9354
Cu1 Cu 0.2274 0.7500 0.1764
Te1 Te 0.0706 0.7500 0.3833
Te2 Te 0.0760 0.7500 0.8915
Te3 Te 0.4900 0.5048 0.7714

Entry 9:
# SrTmCu2Te4, optimized geometry, DFT PBE
# Final energy: -4.033 eV/atom
# E_form (uncorrected): -5.4 eV/f.u.
data_SrTmCu2Te4
_space_group_name_H-M_alt 'I 2 2 2'
_space_group_IT_number 23
_cell_length_a 7.1547
_cell_length_b 7.8231
_cell_length_c 8.6004
_cell_angle_alpha 90.00
_cell_angle_beta 90.00
_cell_angle_gamma 90.00
loop_
_space_group_symop_operation_xyz
'x,y,z'
'-x,-y,z'
'x,-y,-z'
'-x,y,-z'
'x+1/2,y+1/2,z+1/2'
'-x+1/2,-y+1/2,z+1/2'
'x+1/2,-y+1/2,-z+1/2'
'-x+1/2,y+1/2,-z+1/2'
loop_
_atom_site_label
_atom_site_type_symbol
_atom_site_fract_x
_atom_site_fract_y
_atom_site_fract_z
Sr1 Sr 0.0000 0.0000 0.0000
Tm1 Tm 0.0000 0.0000 0.5000
Cu1 Cu 0.0000 0.5000 0.1517
Te1 Te 0.2348 0.2162 0.2999

Entry 10:
# SrTh2Cu6, optimized geometry, DFT PBE
# Final energy: -4.684 eV/atom
data_SrTh2Cu6
_space_group_name_H-M_alt 'P 6/m m m'
_space_group_IT_number 191
_space_group_name_Hall '-P 6 2'
_cell_length_a 7.5150
_cell_length_b 7.5150
_cell_length_c 3.7484
_cell_angle_alpha 90.00
_cell_angle_beta 90.00
_cell_angle_gamma 120.00
loop_
_atom_site_label
_atom_site_type_symbol
_atom_site_fract_x
_atom_site_fract_y
_atom_site_fract_z
Sr1 Sr 0.0000 0.0000 0.0000
Th1 Th 0.3333 0.6667 0.0000
Cu1 Cu 0.0000 0.3372 0.5000